No. 1
# CsLiLaI6 PBE optimized geometry
# raw total energy: -3.08 eV per atom
# formation energy from raw total energies: -1.188 eV per atom
data_CsLiLaI6
_chemical_formula_sum 'Cs2 Li2 La2 I12'
_space_group_name_H-M_alt 'C 1 2 1'
_space_group_IT_number 5
_space_group_name_Hall 'C 2y'
_cell_length_a 7.6913
_cell_length_b 13.3560
_cell_length_c 9.2766
_cell_angle_alpha 90.00
_cell_angle_beta 90.03
_cell_angle_gamma 90.00
loop_
_atom_site_label
_atom_site_type_symbol
_atom_site_fract_x
_atom_site_fract_y
_atom_site_fract_z
_atom_site_occupancy
Cs1 Cs 0.0000 0.0000 0.0000 1
Li1 Li 0.0000 0.6664 0.5000 1
La1 La 0.0000 0.3334 0.5000 1
I1 I 0.1429 0.5082 0.3012 1
I2 I 0.1659 0.8173 0.3011 1
I3 I 0.1906 0.1744 0.3012 1

***

No. 2
# Cd2InTc PBE optimized geometry
# raw total energy: -3.36 eV per atom
# energy of formation from the pure elements: 0.38 eV per atom
data_Cd2InTc
_chemical_formula_sum 'Cd2 In1 Tc1'
_space_group_name_H-M_alt 'P 4/m m m'
_space_group_IT_number 123
_space_group_name_Hall '-P 4 2'
_cell_length_a 3.0009
_cell_length_b 3.0009
_cell_length_c 9.3059
_cell_angle_alpha 90.00
_cell_angle_beta 90.00
_cell_angle_gamma 90.00
loop_
_atom_site_label
_atom_site_type_symbol
_atom_site_fract_x
_atom_site_fract_y
_atom_site_fract_z
_atom_site_occupancy
Cd1 Cd 0.0000 0.0000 0.2135 1
In1 In 0.5000 0.5000 0.5000 1
Tc1 Tc 0.5000 0.5000 0.0000 1

***

No. 3
# Rb3PuP2S8 PBE optimized geometry
# raw total energy: -5.21 eV per atom
# formation energy from raw total energies: -0.848 eV per atom
data_Rb3PuP2S8
_chemical_formula_sum 'Rb3 Pu1 P2 S8'
_space_group_name_H-M_alt 'P -3 m 1'
_space_group_IT_number 164
_space_group_name_Hall '-P 3 2"'
_cell_length_a 7.0850
_cell_length_b 7.0850
_cell_length_c 9.4127
_cell_angle_alpha 90.00
_cell_angle_beta 90.00
_cell_angle_gamma 120.00
loop_
_atom_site_label
_atom_site_type_symbol
_atom_site_fract_x
_atom_site_fract_y
_atom_site_fract_z
_atom_site_occupancy
Rb1 Rb 0.0000 0.0000 0.0000 1
Rb2 Rb 0.3333 0.6667 0.6691 1
Pu1 Pu 0.0000 0.0000 0.5000 1
P1 P 0.3333 0.6667 0.2423 1
S1 S 0.1739 0.3477 0.3189 1
S2 S 0.3333 0.6667 0.0332 1

***

No. 4
# Zn2AgH PBE optimized geometry
# raw total energy: -1.68 eV per atom
data_Zn2AgH
_chemical_formula_sum 'Zn8 Ag4 H4'
_space_group_name_H-M_alt 'F m -3 m'
_space_group_IT_number 225
_space_group_name_Hall '-F 4 2 3'
_cell_length_a 6.1198
_cell_length_b 6.1198
_cell_length_c 6.1198
_cell_angle_alpha 90.00
_cell_angle_beta 90.00
_cell_angle_gamma 90.00
loop_
_atom_site_label
_atom_site_type_symbol
_atom_site_fract_x
_atom_site_fract_y
_atom_site_fract_z
_atom_site_occupancy
Zn1 Zn 0.2500 0.2500 0.2500 1
Ag1 Ag 0.0000 0.0000 0.0000 1
H1 H 0.0000 0.0000 0.5000 1

***

No. 5
# Zn2CrRh PBE optimized geometry
# raw total energy: -4.90 eV per atom
# energy of formation from the pure elements: -0.02 eV per atom
data_Zn2CrRh
_chemical_formula_sum 'Zn8 Cr4 Rh4'
_space_group_name_H-M_alt 'F -4 3 m'
_space_group_IT_number 216
_space_group_name_Hall 'F -4 2 3'
_cell_length_a 6.0823
_cell_length_b 6.0823
_cell_length_c 6.0823
_cell_angle_alpha 90.00
_cell_angle_beta 90.00
_cell_angle_gamma 90.00
loop_
_atom_site_label
_atom_site_type_symbol
_atom_site_fract_x
_atom_site_fract_y
_atom_site_fract_z
_atom_site_occupancy
Zn1 Zn 0.0000 0.0000 0.0000 1
Zn2 Zn 0.2500 0.2500 0.2500 1
Cr1 Cr 0.0000 0.0000 0.5000 1
Rh1 Rh 0.2500 0.2500 0.7500 1

***

No. 6
# B2HOsW PBE optimized geometry
# raw total energy: -7.32 eV per atom
data_B2HOsW
_chemical_formula_sum 'B2 H1 Os1 W1'
_space_group_name_H-M_alt 'P 4/m m m'
_space_group_IT_number 123
_space_group_name_Hall '-P 4 2'
_cell_length_a 3.8675
_cell_length_b 3.8675
_cell_length_c 3.1319
_cell_angle_alpha 90.00
_cell_angle_beta 90.00
_cell_angle_gamma 90.00
loop_
_atom_site_label
_atom_site_type_symbol
_atom_site_fract_x
_atom_site_fract_y
_atom_site_fract_z
_atom_site_occupancy
B1 B 0.0000 0.5000 0.0000 1
H1 H 0.0000 0.0000 0.0000 1
Os1 Os 0.5000 0.5000 0.5000 1
W1 W 0.0000 0.0000 0.5000 1

***

No. 7
# Ba2AlW PBE optimized geometry
# raw total energy: -3.95 eV per atom
# energy of formation from the pure elements: 1.18 eV per atom
data_Ba2AlW
_chemical_formula_sum 'Ba6 Al3 W3'
_space_group_name_H-M_alt 'R -3 m'
_space_group_IT_number 166
_space_group_name_Hall '-R 3 2"'
_cell_length_a 3.3846
_cell_length_b 3.3846
_cell_length_c 34.5756
_cell_angle_alpha 90.00
_cell_angle_beta 90.00
_cell_angle_gamma 120.00
loop_
_atom_site_label
_atom_site_type_symbol
_atom_site_fract_x
_atom_site_fract_y
_atom_site_fract_z
_atom_site_occupancy
Ba1 Ba 0.0000 0.0000 0.2457 1
Al1 Al 0.0000 0.0000 0.0000 1
W1 W 0.0000 0.0000 0.5000 1

***

No. 8
# La2SiO PBE optimized geometry
# raw total energy: -6.10 eV per atom
# formation energy from raw total energies: -1.043 eV per atom
data_La2SiO
_chemical_formula_sum 'La8 Si4 O4'
_space_group_name_H-M_alt 'F m -3 m'
_space_group_IT_number 225
_space_group_name_Hall '-F 4 2 3'
_cell_length_a 7.0655
_cell_length_b 7.0655
_cell_length_c 7.0655
_cell_angle_alpha 90.00
_cell_angle_beta 90.00
_cell_angle_gamma 90.00
loop_
_atom_site_label
_atom_site_type_symbol
_atom_site_fract_x
_atom_site_fract_y
_atom_site_fract_z
_atom_site_occupancy
La1 La 0.2500 0.2500 0.2500 1
Si1 Si 0.0000 0.0000 0.0000 1
O1 O 0.0000 0.0000 0.5000 1

***

No. 9
# ErZn6Fe6 PBE optimized geometry
# raw total energy: -4.91 eV per atom
# energy of formation from the pure elements: -0.06 eV per atom
data_ErZn6Fe6
_chemical_formula_sum 'Er2 Zn12 Fe12'
_space_group_name_H-M_alt 'I m m m'
_space_group_IT_number 71
_space_group_name_Hall '-I 2 2'
_cell_length_a 4.9291
_cell_length_b 8.5641
_cell_length_c 8.6572
_cell_angle_alpha 90.00
_cell_angle_beta 90.00
_cell_angle_gamma 90.00
loop_
_atom_site_label
_atom_site_type_symbol
_atom_site_fract_x
_atom_site_fract_y
_atom_site_fract_z
_atom_site_occupancy
Er1 Er 0.0000 0.0000 0.0000 1
Zn1 Zn 0.0000 0.0000 0.3396 1
Zn2 Zn 0.0000 0.2958 0.5000 1
Zn3 Zn 0.0000 0.3495 0.0000 1
Fe1 Fe 0.0000 0.5000 0.2725 1
Fe2 Fe 0.2500 0.2500 0.2500 1

***

No. 10
# ErThGaAu PBE optimized geometry
# raw total energy: -5.20 eV per atom
# energy of formation from the pure elements: -0.63 eV per atom
data_ErThGaAu
_chemical_formula_sum 'Er2 Th2 Ga2 Au2'
_space_group_name_H-M_alt 'A m m 2'
_space_group_IT_number 38
_space_group_name_Hall 'A 2 -2'
_cell_length_a 4.4470
_cell_length_b 4.0282
_cell_length_c 11.1646
_cell_angle_alpha 90.00
_cell_angle_beta 90.00
_cell_angle_gamma 90.00
loop_
_atom_site_label
_atom_site_type_symbol
_atom_site_fract_x
_atom_site_fract_y
_atom_site_fract_z
_atom_site_occupancy
Er1 Er 0.0000 0.0000 0.0000 1
Th1 Th 0.5000 0.0000 0.7189 1
Ga1 Ga 0.0000 0.0000 0.2847 1
Au1 Au 0.5000 0.0000 0.4449 1

***

No. 11
# Ac2SmEu PBE optimized geometry
# raw total energy: -5.77 eV per atom
# energy of formation from the pure elements: 0.03 eV per atom
data_Ac2SmEu
_chemical_formula_sum 'Ac2 Sm1 Eu1'
_space_group_name_H-M_alt 'P 4/m m m'
_space_group_IT_number 123
_space_group_name_Hall '-P 4 2'
_cell_length_a 3.9149
_cell_length_b 3.9149
_cell_length_c 10.7724
_cell_angle_alpha 90.00
_cell_angle_beta 90.00
_cell_angle_gamma 90.00
loop_
_atom_site_label
_atom_site_type_symbol
_atom_site_fract_x
_atom_site_fract_y
_atom_site_fract_z
_atom_site_occupancy
Ac1 Ac 0.0000 0.0000 0.2371 1
Sm1 Sm 0.5000 0.5000 0.0000 1
Eu1 Eu 0.5000 0.5000 0.5000 1

***

No. 12
# TlWCl2 PBE optimized geometry
# raw total energy: -4.32 eV per atom
# formation energy from raw total energies: 0.431 eV per atom
data_TlWCl2
_chemical_formula_sum 'Tl1 W1 Cl2'
_space_group_name_H-M_alt 'P 4 m m'
_space_group_IT_number 99
_space_group_name_Hall 'P 4 -2'
_cell_length_a 3.1901
_cell_length_b 3.1901
_cell_length_c 8.3505
_cell_angle_alpha 90.00
_cell_angle_beta 90.00
_cell_angle_gamma 90.00
loop_
_atom_site_label
_atom_site_type_symbol
_atom_site_fract_x
_atom_site_fract_y
_atom_site_fract_z
_atom_site_occupancy
Tl1 Tl 0.0000 0.0000 0.0000 1
W1 W 0.5000 0.5000 0.2453 1
Cl1 Cl 0.0000 0.0000 0.4058 1
Cl2 Cl 0.5000 0.5000 0.7729 1

***

No. 13
# TbNd2Dy6 PBE optimized geometry
# raw total energy: -4.44 eV per atom
# energy of formation from the pure elements: 0.20 eV per atom
data_TbNd2Dy6
_chemical_formula_sum 'Tb4 Nd8 Dy24'
_space_group_name_H-M_alt 'C 1 2/c 1'
_space_group_IT_number 15
_space_group_name_Hall '-C 2yc'
_cell_length_a 14.2062
_cell_length_b 14.0922
_cell_length_c 6.4683
_cell_angle_alpha 90.00
_cell_angle_beta 114.74
_cell_angle_gamma 90.00
loop_
_atom_site_label
_atom_site_type_symbol
_atom_site_fract_x
_atom_site_fract_y
_atom_site_fract_z
_atom_site_occupancy
Tb1 Tb 0.0000 0.1341 0.2500 1
Nd1 Nd 0.1476 0.4614 0.4621 1
Dy1 Dy 0.0554 0.3150 0.0203 1
Dy2 Dy 0.1262 0.0701 0.9502 1
Dy3 Dy 0.2046 0.2401 0.6993 1

***

No. 14
# Pr4Y4Sc PBE optimized geometry
# raw total energy: -5.66 eV per atom
# energy of formation from the pure elements: 0.04 eV per atom
data_Pr4Y4Sc
_chemical_formula_sum 'Pr8 Y8 Sc2'
_space_group_name_H-M_alt 'I 4/m m m'
_space_group_IT_number 139
_space_group_name_Hall '-I 4 2'
_cell_length_a 10.8135
_cell_length_b 10.8135
_cell_length_c 5.1037
_cell_angle_alpha 90.00
_cell_angle_beta 90.00
_cell_angle_gamma 90.00
loop_
_atom_site_label
_atom_site_type_symbol
_atom_site_fract_x
_atom_site_fract_y
_atom_site_fract_z
_atom_site_occupancy
Pr1 Pr 0.0000 0.3294 0.0000 1
Y1 Y 0.1633 0.1633 0.5000 1
Sc1 Sc 0.0000 0.0000 0.0000 1

***

No. 15
# TbBe4Au12 PBE optimized geometry
# raw total energy: -3.59 eV per atom
# energy of formation from the pure elements: -0.12 eV per atom
data_TbBe4Au12
_chemical_formula_sum 'Tb2 Be8 Au24'
_space_group_name_H-M_alt 'I m -3'
_space_group_IT_number 204
_space_group_name_Hall '-I 2 2 3'
_cell_length_a 8.4527
_cell_length_b 8.4527
_cell_length_c 8.4527
_cell_angle_alpha 90.00
_cell_angle_beta 90.00
_cell_angle_gamma 90.00
loop_
_atom_site_label
_atom_site_type_symbol
_atom_site_fract_x
_atom_site_fract_y
_atom_site_fract_z
_atom_site_occupancy
Tb1 Tb 0.0000 0.0000 0.0000 1
Be1 Be 0.2500 0.2500 0.2500 1
Au1 Au 0.0000 0.1697 0.3312 1

***

No. 16
# SiTeAsOs2 PBE optimized geometry
# raw total energy: -4.89 eV per atom
# formation energy from raw total energies: 2.249 eV per atom
data_SiTeAsOs2
_chemical_formula_sum 'Si1 Te1 As1 Os2'
_space_group_name_H-M_alt 'P 4/m m m'
_space_group_IT_number 123
_space_group_name_Hall '-P 4 2'
_cell_length_a 4.8564
_cell_length_b 4.8564
_cell_length_c 5.0348
_cell_angle_alpha 90.00
_cell_angle_beta 90.00
_cell_angle_gamma 90.00
loop_
_atom_site_label
_atom_site_type_symbol
_atom_site_fract_x
_atom_site_fract_y
_atom_site_fract_z
_atom_site_occupancy
Si1 Si 0.0000 0.0000 0.0000 1
Te1 Te 0.0000 0.0000 0.5000 1
As1 As 0.5000 0.5000 0.0000 1
Os1 Os 0.0000 0.5000 0.5000 1